DFT (GGA+U) results for crystalline MnI2O2 at its relaxed geometry.

```
MnI2O2
1.0
-2.5519 3.1789 -0.7003
-3.1730 -2.6278 -0.3664
-1.3371 0.5726 7.4720
Mn O I
1 2 2
direct
0.5000 0.5000 0.5000 Mn
0.5000 0.0000 0.0000 O
0.0000 0.5000 0.0000 O
0.0000 0.0000 0.0000 I
0.0000 0.0000 0.5000 I
```

Raw total energy, eV per atom: -3.990
Space group: P4/mmm